# 1
DFT (PBE) results for Li2TlCd4 after structural relaxation.

Properties
Formation enthalpy at 0 K   -0.089 eV per atom
Space-group type   C2/m
E   -0.055 hartree per atom

Cell and atoms, written as POSCAR:
```
Li2TlCd4
1.0
-5.849 -0.792 -8.475
4.883 -1.052 -3.272
-3.450 -4.326 2.785
Li Tl Cd
4 2 8
Direct
0.000 0.718 0.440
0.000 0.282 0.560
0.500 0.782 0.560
0.500 0.218 0.440
0.000 0.000 0.000
0.500 0.500 0.000
0.836 0.500 0.000
0.757 0.500 0.500
0.743 0.000 0.500
0.664 0.000 0.000
0.336 0.000 0.000
0.257 0.000 0.500
0.243 0.500 0.500
0.164 0.500 0.000
```



# 2
DFT (PBE) results for AgAsP2O after structural relaxation.

Properties
E_form (uncorrected)   0.949 eV per atom
Space-group type   P4/mmm
E   -0.136 hartree per atom

Cell and atoms, written as POSCAR:
```
AgAsP2O
1.0
-3.907 -2.748 0.925
2.865 -3.423 1.935
-0.352 1.673 3.482
P As O Ag
2 1 1 1
Direct
0.000 0.500 0.000
0.500 0.000 0.000
0.500 0.500 0.500
0.000 0.000 0.500
0.000 0.000 0.000
```



# 3
DFT (PBE) results for Ni2OsBr after structural relaxation.

Properties
E_form (uncorrected)   0.727 eV per atom
Space-group type   P4mm
E   -0.198 hartree per atom

Cell and atoms, written as POSCAR:
```
Ni2OsBr
1.0
-0.688 1.901 -2.252
0.772 -2.116 -2.021
-5.942 -2.159 -0.008
Br Ni Os
1 2 1
Direct
0.500 0.500 0.771
0.000 0.000 0.040
0.500 0.500 0.245
0.000 0.000 0.444
```



# 4
DFT (PBE) results for LiCeF5 after structural relaxation.

Properties
E_form (uncorrected)   -3.504 eV per atom
Space-group type   C2/c
E   -0.219 hartree per atom

Cell and atoms, written as POSCAR:
```
LiCeF5
1.0
-5.379 0.463 -1.032
-1.233 -5.006 -1.906
0.455 -0.830 7.353
Li Ce F
2 2 10
Direct
0.000 0.000 0.000
0.000 0.000 0.500
0.424 0.576 0.250
0.576 0.424 0.750
0.181 0.300 0.132
0.702 0.343 0.459
0.300 0.181 0.632
0.108 0.892 0.250
0.657 0.298 0.041
0.343 0.702 0.959
0.892 0.108 0.750
0.700 0.819 0.368
0.298 0.657 0.541
0.819 0.700 0.868
```



# 5
DFT (PBE) results for Pa6GaTc5 after structural relaxation.

Properties
Formation enthalpy at 0 K   -0.094 eV per atom
Space-group type   C2/m
E   -0.346 hartree per atom

Cell and atoms, written as POSCAR:
```
Pa6GaTc5
1.0
6.954 -0.014 0.000
1.937 6.751 0.000
0.969 3.375 5.578
Pa Ga Tc
6 1 5
Direct
0.726 0.096 0.350
0.274 0.554 0.350
0.228 0.287 0.000
0.772 0.713 0.000
0.726 0.446 0.650
0.274 0.904 0.650
0.000 0.000 0.000
0.500 0.135 0.731
0.000 0.316 0.368
0.500 0.500 0.000
0.000 0.684 0.632
0.500 0.865 0.269
```



# 6
DFT (PBE) results for Tm3ZrAl8 after structural relaxation.

Properties
Formation enthalpy at 0 K   -0.491 eV per atom
Space-group type   P3m1
E   -0.177 hartree per atom

Cell and atoms, written as POSCAR:
```
Tm3ZrAl8
1.0
-0.694 -0.826 5.328
-0.479 -4.149 -3.478
8.795 -1.748 0.875
Tm Zr Al
3 1 8
Direct
0.667 0.333 0.435
0.667 0.333 0.068
0.000 0.000 0.931
0.000 0.000 0.568
0.333 0.667 0.500
0.333 0.667 0.999
0.504 0.008 0.745
0.504 0.496 0.745
0.992 0.496 0.745
0.162 0.325 0.255
0.162 0.838 0.255
0.675 0.838 0.255
```